An optimized crystal structure of Ba2SrMgSe. Source: the Alexandria database, functional PBE-GGA.

a = 6.3867 Å, b = 6.3867 Å, c = 5.9238 Å
α = 90.00°, β = 90.00°, γ = 90.00°
Last column: nearest neighbours and their distance in Å.
Atoms (fractional coordinates):
Ba (0.0000, 0.5000, 0.0000)  2 Se 3.19
Ba (0.5000, 0.0000, 0.0000)  2 Se 3.19
Mg (0.5000, 0.5000, 0.5000)  8 Ba 4.36, 4 Sr 4.52
Sr (0.0000, 0.0000, 0.5000)  2 Se 2.96
Se (0.0000, 0.0000, 0.0000)  2 Sr 2.96, 4 Ba 3.19

Properties
Mass density, g/cm3: 3.20
M_tot, μB/cell: 0.0
SG: P4/mmm
Formation energy (no corrections), eV per atom: -0.660



An optimized crystal structure of Hf2NpIr. Source: the Alexandria database, functional PBE-GGA.

a = 4.7753 Å, b = 4.7753 Å, c = 4.7753 Å
α = 60.00°, β = 60.00°, γ = 60.00°
Last column: nearest neighbours and their distance in Å.
Atoms (fractional coordinates):
Ir (0.5000, 0.5000, 0.5000)  8 Hf 2.92
Np (0.0000, 0.0000, 0.0000)  8 Hf 2.92
Hf (0.2500, 0.2500, 0.2500)  4 Ir 2.92, 4 Np 2.92
Hf (0.7500, 0.7500, 0.7500)  4 Np 2.92, 4 Ir 2.92

Properties
Mass density, g/cm3: 16.96
M_tot, μB/cell: 3.7
SG: Fm-3m
E_form, eV per atom: 0.01



An optimized crystal structure of Ba2HgAu. Source: the Alexandria database, functional PBE-GGA.

a = 4.7510 Å, b = 4.7510 Å, c = 8.8155 Å
α = 74.37°, β = 74.37°, γ = 60.00°
Last column: nearest neighbours and their distance in Å.
Atoms (fractional coordinates):
Hg (0.4998, 0.4998, 0.5005)  6 Ba 3.58-3.59
Ba (0.2589, 0.2589, 0.2233)  3 Au 3.31, 3 Hg 3.59
Ba (0.0750, 0.0750, 0.7751)  3 Au 3.33, 3 Hg 3.58
Au (0.6663, 0.6663, 0.0012)  6 Ba 3.31-3.33

Properties
Mass density, g/cm3: 6.82
M_tot, μB/cell: 0.0
SG: R3m
E_form, eV per atom: -0.55



An optimized crystal structure of Dy5In3Pd12. Source: the Alexandria database, functional PBE-GGA.

a = 13.6183 Å, b = 13.6183 Å, c = 13.6183 Å
α = 109.47°, β = 109.47°, γ = 109.47°
Last column: nearest neighbours and their distance in Å.
Atoms (fractional coordinates):
Dy (0.0000, 0.0000, 0.5000)  6 Pd 2.70
Dy (0.0000, 0.0000, 0.0000)  6 Pd 2.70
Dy (0.7500, 0.1250, 0.8750)  4 Pd 2.73
Dy (0.8750, 0.2500, 0.6250)  4 Pd 2.73
Dy (0.5000, 0.0000, 0.5000)  6 Pd 2.70
Dy (0.3750, 0.2500, 0.1250)  4 Pd 2.73
Dy (0.5000, 0.0000, 0.0000)  6 Pd 2.70
Dy (0.7500, 0.6250, 0.3750)  4 Pd 2.73
Dy (0.2500, 0.3750, 0.6250)  4 Pd 2.73
Dy (0.1250, 0.3750, 0.2500)  4 Pd 2.73
Dy (0.3750, 0.1250, 0.7500)  4 Pd 2.73
Dy (0.2500, 0.8750, 0.1250)  4 Pd 2.73
Dy (0.8750, 0.6250, 0.7500)  4 Pd 2.73
Dy (0.6250, 0.8750, 0.2500)  4 Pd 2.73
Dy (0.0000, 0.5000, 0.0000)  6 Pd 2.70
Dy (0.6250, 0.7500, 0.8750)  4 Pd 2.73
Dy (0.0000, 0.5000, 0.5000)  6 Pd 2.70
Dy (0.5000, 0.5000, 0.5000)  6 Pd 2.70
Dy (0.1250, 0.7500, 0.3750)  4 Pd 2.73
Dy (0.5000, 0.5000, 0.0000)  6 Pd 2.70
In (0.2500, 0.6250, 0.8750)  8 Pd 2.71-2.85
In (0.8750, 0.1250, 0.2500)  8 Pd 2.71-2.85
In (0.6250, 0.3750, 0.7500)  8 Pd 2.71-2.85
In (0.7500, 0.8750, 0.6250)  8 Pd 2.71-2.85
In (0.3750, 0.6250, 0.2500)  8 Pd 2.71-2.85
In (0.8750, 0.7500, 0.1250)  8 Pd 2.71-2.85
In (0.6250, 0.2500, 0.3750)  8 Pd 2.71-2.85
In (0.7500, 0.3750, 0.1250)  8 Pd 2.71-2.85
In (0.1250, 0.2500, 0.8750)  8 Pd 2.71-2.85
In (0.2500, 0.1250, 0.3750)  8 Pd 2.71-2.85
In (0.3750, 0.7500, 0.6250)  8 Pd 2.71-2.85
In (0.1250, 0.8750, 0.7500)  8 Pd 2.71-2.85
Pd (0.7318, 0.5850, 0.1577)  2 Dy 2.70-2.73, 1 Pd 2.70, 2 In 2.71-2.85
Pd (0.4274, 0.3532, 0.5850)  2 Dy 2.70-2.73, 1 Pd 2.70, 2 In 2.71-2.85
Pd (0.1468, 0.4150, 0.0726)  2 Dy 2.70-2.73, 1 Pd 2.70, 2 In 2.71-2.85
Pd (0.1577, 0.0850, 0.7318)  2 Dy 2.70-2.73, 1 Pd 2.70, 2 In 2.71-2.85
Pd (0.1468, 0.7318, 0.5741)  2 Dy 2.70-2.73, 1 Pd 2.70, 2 In 2.71-2.85
Pd (0.9150, 0.8423, 0.7682)  2 Dy 2.70-2.73, 1 Pd 2.70, 2 In 2.71-2.85
Pd (0.8532, 0.2682, 0.4259)  2 Dy 2.70-2.73, 1 Pd 2.70, 2 In 2.71-2.85
Pd (0.8423, 0.9150, 0.2682)  2 Dy 2.70-2.73, 1 Pd 2.70, 2 In 2.71-2.85
Pd (0.3423, 0.7682, 0.4150)  2 Dy 2.70-2.73, 1 Pd 2.70, 2 In 2.71-2.85
Pd (0.1577, 0.0726, 0.9259)  2 Dy 2.70-2.73, 1 Pd 2.70, 2 In 2.71-2.85
Pd (0.9274, 0.0850, 0.8532)  2 Dy 2.70-2.73, 1 Pd 2.70, 2 In 2.71-2.85
Pd (0.2318, 0.6577, 0.0850)  2 Dy 2.70-2.73, 1 Pd 2.70, 2 In 2.71-2.85
Pd (0.5726, 0.9259, 0.6577)  2 Dy 2.70-2.73, 1 Pd 2.70, 2 In 2.71-2.85
Pd (0.4259, 0.6577, 0.0726)  2 Dy 2.70-2.73, 1 Pd 2.70, 2 In 2.71-2.85
Pd (0.0741, 0.6468, 0.7318)  2 Dy 2.70-2.73, 1 Pd 2.70, 2 In 2.71-2.85
Pd (0.0850, 0.1577, 0.2318)  2 Dy 2.70-2.73, 1 Pd 2.70, 2 In 2.71-2.85
Pd (0.7682, 0.3423, 0.9150)  2 Dy 2.70-2.73, 1 Pd 2.70, 2 In 2.71-2.85
Pd (0.0726, 0.1577, 0.4259)  2 Dy 2.70-2.73, 1 Pd 2.70, 2 In 2.71-2.85
Pd (0.0741, 0.4274, 0.8423)  2 Dy 2.70-2.73, 1 Pd 2.70, 2 In 2.71-2.85
Pd (0.0726, 0.9150, 0.1468)  2 Dy 2.70-2.73, 1 Pd 2.70, 2 In 2.71-2.85
Pd (0.2682, 0.8532, 0.9259)  2 Dy 2.70-2.73, 1 Pd 2.70, 2 In 2.71-2.85
Pd (0.8532, 0.5850, 0.9274)  2 Dy 2.70-2.73, 1 Pd 2.70, 2 In 2.71-2.85
Pd (0.4150, 0.1468, 0.5726)  2 Dy 2.70-2.73, 1 Pd 2.70, 2 In 2.71-2.85
Pd (0.6468, 0.0741, 0.2318)  2 Dy 2.70-2.73, 1 Pd 2.70, 2 In 2.71-2.85
Pd (0.3423, 0.5741, 0.4274)  2 Dy 2.70-2.73, 1 Pd 2.70, 2 In 2.71-2.85
Pd (0.7318, 0.1468, 0.0741)  2 Dy 2.70-2.73, 1 Pd 2.70, 2 In 2.71-2.85
Pd (0.5741, 0.3423, 0.9274)  2 Dy 2.70-2.73, 1 Pd 2.70, 2 In 2.71-2.85
Pd (0.0850, 0.9274, 0.3532)  2 Dy 2.70-2.73, 1 Pd 2.70, 2 In 2.71-2.85
Pd (0.2682, 0.4150, 0.8423)  2 Dy 2.70-2.73, 1 Pd 2.70, 2 In 2.71-2.85
Pd (0.6577, 0.4259, 0.5726)  2 Dy 2.70-2.73, 1 Pd 2.70, 2 In 2.71-2.85
Pd (0.9259, 0.3532, 0.2682)  2 Dy 2.70-2.73, 1 Pd 2.70, 2 In 2.71-2.85
Pd (0.4150, 0.2682, 0.3423)  2 Dy 2.70-2.73, 1 Pd 2.70, 2 In 2.71-2.85
Pd (0.8423, 0.9274, 0.0741)  2 Dy 2.70-2.73, 1 Pd 2.70, 2 In 2.71-2.85
Pd (0.7682, 0.4259, 0.3532)  2 Dy 2.70-2.73, 1 Pd 2.70, 2 In 2.71-2.85
Pd (0.3532, 0.9259, 0.7682)  2 Dy 2.70-2.73, 1 Pd 2.70, 2 In 2.71-2.85
Pd (0.3532, 0.4274, 0.0850)  2 Dy 2.70-2.73, 1 Pd 2.70, 2 In 2.71-2.85
Pd (0.6468, 0.5726, 0.9150)  2 Dy 2.70-2.73, 1 Pd 2.70, 2 In 2.71-2.85
Pd (0.5850, 0.7318, 0.6577)  2 Dy 2.70-2.73, 1 Pd 2.70, 2 In 2.71-2.85
Pd (0.6577, 0.2318, 0.5850)  2 Dy 2.70-2.73, 1 Pd 2.70, 2 In 2.71-2.85
Pd (0.9259, 0.5726, 0.1577)  2 Dy 2.70-2.73, 1 Pd 2.70, 2 In 2.71-2.85
Pd (0.4259, 0.7682, 0.8532)  2 Dy 2.70-2.73, 1 Pd 2.70, 2 In 2.71-2.85
Pd (0.2318, 0.5741, 0.6468)  2 Dy 2.70-2.73, 1 Pd 2.70, 2 In 2.71-2.85
Pd (0.4274, 0.0741, 0.3423)  2 Dy 2.70-2.73, 1 Pd 2.70, 2 In 2.71-2.85
Pd (0.5741, 0.2318, 0.1468)  2 Dy 2.70-2.73, 1 Pd 2.70, 2 In 2.71-2.85
Pd (0.9274, 0.8423, 0.5741)  2 Dy 2.70-2.73, 1 Pd 2.70, 2 In 2.71-2.85
Pd (0.5726, 0.6468, 0.4150)  2 Dy 2.70-2.73, 1 Pd 2.70, 2 In 2.71-2.85
Pd (0.9150, 0.0726, 0.6468)  2 Dy 2.70-2.73, 1 Pd 2.70, 2 In 2.71-2.85
Pd (0.5850, 0.8532, 0.4274)  2 Dy 2.70-2.73, 1 Pd 2.70, 2 In 2.71-2.85

Properties
Mass density, g/cm3: 8.32
M_tot, μB/cell: 0.0
SG: Ia-3d
E_form, eV per atom: -0.26



An optimized crystal structure of BeAu3. Source: the Alexandria database, functional PBE-GGA.

a = 4.0117 Å, b = 4.0117 Å, c = 4.0117 Å
α = 90.00°, β = 90.00°, γ = 90.00°
Last column: nearest neighbours and their distance in Å.
Atoms (fractional coordinates):
Be (0.0000, 0.0000, 0.0000)  12 Au 2.84
Au (0.0000, 0.5000, 0.5000)  8 Au 2.84, 4 Be 2.84
Au (0.5000, 0.5000, 0.0000)  8 Au 2.84, 4 Be 2.84
Au (0.5000, 0.0000, 0.5000)  8 Au 2.84, 4 Be 2.84

Properties
Mass density, g/cm3: 15.43
M_tot, μB/cell: 0.0
SG: Pm-3m
E_form, eV per atom: 0.08



An optimized crystal structure of Li4In3Sn2. Source: the Alexandria database, functional PBE-GGA.

a = 4.3931 Å, b = 5.2247 Å, c = 9.7855 Å
α = 74.18°, β = 90.98°, γ = 64.87°
Last column: nearest neighbours and their distance in Å.
Atoms (fractional coordinates):
Li (0.6631, 0.6698, 0.8889)  4 In 3.01-3.25, 4 Sn 3.02-3.13, 4 Li 3.05-3.18
Li (0.3369, 0.3302, 0.1111)  4 In 3.01-3.25, 4 Sn 3.02-3.13, 4 Li 3.05-3.18
Li (0.0053, 0.9943, 0.3197)  3 Sn 2.99-3.10, 6 In 3.00-3.27, 2 Li 3.05-3.11
Li (0.9947, 0.0057, 0.6803)  3 Sn 2.99-3.10, 6 In 3.00-3.27, 2 Li 3.05-3.11
In (0.3402, 0.3295, 0.4436)  3 In 2.97-3.16, 6 Li 3.00-3.27, 2 Sn 3.17-3.23
In (0.0000, 0.0000, 0.0000)  8 Li 3.01-3.12, 4 Sn 3.08-3.12
In (0.6598, 0.6705, 0.5564)  3 In 2.97-3.16, 6 Li 3.00-3.27, 2 Sn 3.17-3.23
Sn (0.3255, 0.3422, 0.7893)  7 Li 2.99-3.13, 4 In 3.08-3.23
Sn (0.6745, 0.6578, 0.2107)  7 Li 2.99-3.13, 4 In 3.08-3.23

Properties
Mass density, g/cm3: 5.24
M_tot, μB/cell: 0.0
SG: P-1
E_form, eV per atom: -0.25



An optimized crystal structure of AlVSn2N. Source: the Alexandria database, functional PBE-GGA.

a = 5.1609 Å, b = 4.9576 Å, c = 5.1609 Å
α = 90.00°, β = 90.00°, γ = 90.00°
Last column: nearest neighbours and their distance in Å.
Atoms (fractional coordinates):
V (0.0000, 0.5000, 0.0000)  2 Al 2.48
Al (0.0000, 0.0000, 0.0000)  2 V 2.48, 4 Sn 2.58
N (0.5000, 0.5000, 0.5000)  8 Sn 3.58, 4 V 3.65
Sn (0.5000, 0.0000, 0.0000)  2 Al 2.58
Sn (0.0000, 0.0000, 0.5000)  2 Al 2.58

Properties
Mass density, g/cm3: 4.14
M_tot, μB/cell: 1.4
SG: P4/mmm
Formation energy (no corrections), eV per atom: 1.747



An optimized crystal structure of Na9Li4Tl11. Source: the Alexandria database, functional PBE-GGA.

a = 3.5062 Å, b = 13.6358 Å, c = 13.6358 Å
α = 106.29°, β = 90.00°, γ = 90.00°
Last column: nearest neighbours and their distance in Å.
Atoms (fractional coordinates):
Na (0.5000, 0.5000, 0.5000)  4 Li 3.17, 4 Tl 3.48, 2 Na 3.51
Na (0.5000, 0.0724, 0.2240)  8 Tl 3.28-3.48, 3 Na 3.31-3.51, 1 Li 3.52
Na (0.5000, 0.8542, 0.3544)  1 Li 3.30, 8 Tl 3.32-3.46, 3 Na 3.41-3.51
Na (0.5000, 0.1458, 0.6456)  1 Li 3.30, 8 Tl 3.32-3.46, 3 Na 3.41-3.51
Na (0.5000, 0.7760, 0.9276)  8 Tl 3.28-3.48, 3 Na 3.31-3.51, 1 Li 3.52
Na (0.5000, 0.2240, 0.0724)  8 Tl 3.28-3.48, 3 Na 3.31-3.51, 1 Li 3.52
Na (0.5000, 0.6456, 0.1458)  1 Li 3.30, 8 Tl 3.32-3.46, 3 Na 3.41-3.51
Na (0.5000, 0.3544, 0.8542)  1 Li 3.30, 8 Tl 3.32-3.46, 3 Na 3.41-3.51
Na (0.5000, 0.9276, 0.7760)  8 Tl 3.28-3.48, 3 Na 3.31-3.51, 1 Li 3.52
Tl (0.0000, 0.3625, 0.6375)  4 Li 2.99
Tl (0.0000, 0.4283, 0.0771)  2 Li 2.97, 1 Tl 3.25, 2 Na 3.28
Tl (0.0000, 0.6983, 0.6983)  4 Li 2.97
Tl (0.0000, 0.3017, 0.3017)  4 Li 2.97
Tl (0.0000, 0.6375, 0.3625)  4 Li 2.99
Tl (0.0000, 0.8530, 0.1470)  3 Tl 3.21-3.51, 8 Na 3.32-3.37
Tl (0.0000, 0.1470, 0.8530)  3 Tl 3.21-3.51, 8 Na 3.32-3.37
Tl (0.0000, 0.0771, 0.4283)  2 Li 2.97, 1 Tl 3.25, 2 Na 3.28
Tl (0.0000, 0.9229, 0.5717)  2 Li 2.97, 1 Tl 3.25, 2 Na 3.28
Tl (0.0000, 0.5717, 0.9229)  2 Li 2.97, 1 Tl 3.25, 2 Na 3.28
Tl (0.0000, 0.0000, 0.0000)  4 Tl 3.21-3.51, 8 Na 3.42
Li (0.5000, 0.7403, 0.5385)  6 Tl 2.97-2.99, 2 Na 3.17-3.30
Li (0.5000, 0.2597, 0.4615)  6 Tl 2.97-2.99, 2 Na 3.17-3.30
Li (0.5000, 0.5385, 0.7403)  6 Tl 2.97-2.99, 2 Na 3.17-3.30
Li (0.5000, 0.4615, 0.2597)  6 Tl 2.97-2.99, 2 Na 3.17-3.30

Properties
Mass density, g/cm3: 6.59
M_tot, μB/cell: 0.0
SG: Cmmm
E_form, eV per atom: -0.13